[1]
TaMo7 | meta-GGA SCAN | single point on PBEsol structure

a b c (Å): 7.0314 7.0314 7.0314
angles (deg): 143.15 143.15 53.11
Positions (direct):
Ta (0.0000, 0.0000, 0.0000)
Mo (0.1264, 0.6264, 0.5000)
Mo (0.2493, 0.2493, 0.0000)
Mo (0.3736, 0.8736, 0.5000)
Mo (0.5000, 0.5000, 0.0000)
Mo (0.6264, 0.1264, 0.5000)
Mo (0.7507, 0.7507, 0.0000)
Mo (0.8736, 0.3736, 0.5000)

Values from the calculation:
**Calculated formation energy**: -0.068 eV/atom
**SG**: I4/mmm (139)
**VASP energy**: -311.3 eV for the cell shown
**Magnetization**: 0.00 μB/f.u.
**DOS at the Fermi energy**: 0.493 states/eV/atom
**Polymorph energy (0 for the lowest one)**: 6 meV per atom

[2]
Ta3Mo | meta-GGA SCAN | single point on PBEsol structure

a b c (Å): 5.3391 5.3391 6.4846
angles (deg): 107.35 107.35 50.96
Positions (direct):
Ta (0.0000, 0.0000, 0.0000)
Ta (0.0000, 0.0000, 0.5000)
Ta (0.2512, 0.2512, 0.3703)
Ta (0.4959, 0.4959, 0.7546)
Ta (0.5041, 0.5041, 0.2454)
Ta (0.7488, 0.7488, 0.6297)
Mo (0.2484, 0.2484, 0.8774)
Mo (0.7516, 0.7516, 0.1226)

Values from the calculation:
**Calculated formation energy**: -0.072 eV/atom
**SG**: C2/m (12)
**VASP energy**: -469.8 eV for the cell shown
**Magnetization**: 0.00 μB/f.u.
**DOS at the Fermi energy**: 1.073 states/eV/atom
**Polymorph energy (0 for the lowest one)**: 49 meV per atom

[3]
Ta3Mo | meta-GGA SCAN | single point on PBEsol structure

a b c (Å): 4.5871 4.5871 3.2215
angles (deg): 90.00 90.00 90.00
Positions (direct):
Ta (0.0000, 0.0000, 0.0000)
Ta (0.0000, 0.5000, 0.5000)
Ta (0.5000, 0.0000, 0.5000)
Mo (0.5000, 0.5000, 0.0000)

Values from the calculation:
**Calculated formation energy**: -0.081 eV/atom
**SG**: P4/mmm (123)
**VASP energy**: -235.0 eV for the cell shown
**Magnetization**: 0.00 μB/f.u.
**DOS at the Fermi energy**: 1.201 states/eV/atom
**Polymorph energy (0 for the lowest one)**: 39 meV per atom